A relaxed structure of ErZr4Ir5, computed with GGA-PBE.

a b c (Å): 3.3342 3.3343 16.6348
angles (deg): 90.00 90.00 90.00
Atoms (fractional coordinates):
Er1 0.0000 0.0000 0.0000
Zr1 0.0000 0.0000 0.2033
Zr2 0.0000 0.0000 0.4016
Zr3 0.0000 0.0000 0.5984
Zr4 0.0000 0.0000 0.7967
Ir1 0.5000 0.5000 0.1114
Ir2 0.5000 0.5000 0.3042
Ir3 0.5000 0.5000 0.5000
Ir4 0.5000 0.5000 0.6958
Ir5 0.5000 0.5000 0.8886

Summary:
Volume ... 18.49 Å³ per atom
ΔE_f ... -808 meV/atom